The following is a DFT calculation (PBE) of a relaxed CsLiGa3 crystal.

Unit cell a=6.1594 b=6.1594 c=6.1594 alpha=90.00 beta=90.00 gamma=90.00
With the nearest neighbours (Å) after each atom.
Sites, in units of the cell vectors:
Cs 0.0000 0.0000 0.0000  6 Ga 3.08
Li 0.5000 0.5000 0.5000  12 Ga 4.36
Ga 0.0000 0.0000 0.5000  2 Cs 3.08
Ga 0.0000 0.5000 0.0000  2 Cs 3.08
Ga 0.5000 0.0000 0.0000  2 Cs 3.08

Summary:
space-group type = No. 221
energy of formation from the pure elements = 1076 meV/atom
total magnetization = 0.0 μB/cell
polymorph energy (0 for the lowest one) = 0.8555 eV/atom